Material: ZrCr2Cd
Method: DFT, PBE
State: relaxed

Summary:
E ... -6.793 eV/atom
Calculated volume ... 17.92 Å³/atom
Energy of formation ... 0.38 eV per atom
M_tot ... 1.417 μB/atom

Lattice parameters (Å, degrees): 3.2778 3.2778 6.6713 90.00 90.00 90.00
Element x y z (fractional)
Zr (0.0000, 0.0000, 0.0000)
Cr (0.5000, 0.5000, 0.2467)
Cr (0.5000, 0.5000, 0.7533)
Cd (0.0000, 0.0000, 0.5000)